Compound: Na4ZnP4H16C2N2O16
Source: Alexandria
Functional: GGA-PBEsol
Structure: optimized geometry

Results
Total energy = -5.87 eV/atom
Density = 2.41 g/cm3

CIF file:
```
data_Na4ZnP4H16C2N2O16
_chemical_formula_sum 'Na4 Zn1 P4 H16 C2 N2 O16'
_cell_length_a 5.5388
_cell_length_b 6.1612
_cell_length_c 12.2589
_cell_angle_alpha 92.29
_cell_angle_beta 92.59
_cell_angle_gamma 93.65
_symmetry_space_group_name_H-M 'P 1'
_symmetry_Int_Tables_number 1
loop_
_symmetry_equiv_pos_as_xyz
'x,y,z'
loop_
_atom_site_label
_atom_site_fract_x
_atom_site_fract_y
_atom_site_fract_z
Na1 0.0213 0.0847 0.3127
Na2 0.3950 0.9069 0.8897
Na3 0.6050 0.0931 0.1103
Na4 0.9787 0.9153 0.6873
Zn1 0.0000 0.5000 0.5000
P1 0.1395 0.4034 0.7535
P2 0.4853 0.7005 0.6357
P3 0.5147 0.2995 0.3643
P4 0.8605 0.5966 0.2465
H1 0.1325 0.3527 0.0967
H2 0.1455 0.8134 0.1013
H3 0.2140 0.3125 0.9726
H4 0.2968 0.7119 0.3722
H5 0.3102 0.6402 0.0515
H6 0.4184 0.2597 0.5653
H7 0.4255 0.5305 0.2165
H8 0.4990 0.1123 0.6795
H9 0.5010 0.8877 0.3205
H10 0.5745 0.4695 0.7835
H11 0.5816 0.7403 0.4347
H12 0.6898 0.3598 0.9485
H13 0.7032 0.2881 0.6278
H14 0.7860 0.6875 0.0274
H15 0.8545 0.1866 0.8987
H16 0.8675 0.6473 0.9033
C1 0.4494 0.4500 0.7105
C2 0.5506 0.5500 0.2895
N1 0.4838 0.7346 0.3586
N2 0.5162 0.2654 0.6414
O1 0.0014 0.3235 0.6443
O2 0.0676 0.6198 0.8034
O3 0.1298 0.2140 0.8325
O4 0.2452 0.7335 0.5718
O5 0.2749 0.3569 0.0485
O6 0.2983 0.8019 0.0620
O7 0.3003 0.3192 0.4394
O8 0.4550 0.1176 0.2766
O9 0.5450 0.8824 0.7234
O10 0.6997 0.6808 0.5606
O11 0.7017 0.1981 0.9380
O12 0.7251 0.6431 0.9515
O13 0.7548 0.2665 0.4282
O14 0.8702 0.7860 0.1675
O15 0.9324 0.3802 0.1966
O16 0.9986 0.6765 0.3557
```

Compound: AlIr3
Source: Alexandria
Functional: GGA-PBEsol
Structure: optimized geometry

Results
Total energy = -8.18 eV/atom
Density = 17.23 g/cm3

CIF file:
```
data_AlIr3
_chemical_formula_sum 'Al2 Ir6'
_cell_length_a 4.8816
_cell_length_b 4.8816
_cell_length_c 4.8816
_cell_angle_alpha 90.00
_cell_angle_beta 90.00
_cell_angle_gamma 90.00
_symmetry_space_group_name_H-M 'P 1'
_symmetry_Int_Tables_number 1
loop_
_symmetry_equiv_pos_as_xyz
'x,y,z'
loop_
_atom_site_label
_atom_site_fract_x
_atom_site_fract_y
_atom_site_fract_z
Al1 0.0000 0.0000 0.0000
Al2 0.5000 0.5000 0.5000
Ir1 0.0000 0.2500 0.5000
Ir2 0.0000 0.7500 0.5000
Ir3 0.2500 0.5000 0.0000
Ir4 0.5000 0.0000 0.2500
Ir5 0.5000 0.0000 0.7500
Ir6 0.7500 0.5000 0.0000
```

Compound: BaCaP2
Source: Alexandria
Functional: GGA-PBEsol
Structure: optimized geometry

Results
Total energy = -4.60 eV/atom
Density = 3.97 g/cm3
Energy relative to the lowest polymorph listed for this composition = 249 meV/atom

CIF file:
```
data_BaCaP2
_chemical_formula_sum 'Ba1 Ca1 P2'
_cell_length_a 4.9721
_cell_length_b 4.9721
_cell_length_c 4.0542
_cell_angle_alpha 90.00
_cell_angle_beta 90.00
_cell_angle_gamma 90.00
_symmetry_space_group_name_H-M 'P 1'
_symmetry_Int_Tables_number 1
loop_
_symmetry_equiv_pos_as_xyz
'x,y,z'
loop_
_atom_site_label
_atom_site_fract_x
_atom_site_fract_y
_atom_site_fract_z
Ba1 0.0000 0.0000 0.0000
Ca1 0.5000 0.5000 0.0405
P1 0.0000 0.5000 0.5083
P2 0.5000 0.0000 0.5083
```

Compound: SrIrPb2
Source: Alexandria
Functional: GGA-PBEsol
Structure: optimized geometry

Results
Total energy = -4.91 eV/atom
Density = 11.96 g/cm3

CIF file:
```
data_SrIrPb2
_chemical_formula_sum 'Sr1 Ir1 Pb2'
_cell_length_a 3.5491
_cell_length_b 3.5491
_cell_length_c 7.6494
_cell_angle_alpha 90.00
_cell_angle_beta 90.00
_cell_angle_gamma 90.00
_symmetry_space_group_name_H-M 'P 1'
_symmetry_Int_Tables_number 1
loop_
_symmetry_equiv_pos_as_xyz
'x,y,z'
loop_
_atom_site_label
_atom_site_fract_x
_atom_site_fract_y
_atom_site_fract_z
Sr1 0.0000 0.0000 0.0000
Ir1 0.0000 0.0000 0.5000
Pb1 0.5000 0.5000 0.3024
Pb2 0.5000 0.5000 0.6976
```

Compound: NaNd3Ti3MnO12
Source: Alexandria
Functional: GGA-PBEsol
Structure: optimized geometry

Results
Total energy = -8.73 eV/atom
Density = 6.05 g/cm3
ΔE_f (raw) = -2.999 eV per atom

CIF file:
```
data_NaNd3Ti3MnO12
_chemical_formula_sum 'Na1 Nd3 Ti3 Mn1 O12'
_cell_length_a 5.4166
_cell_length_b 5.5585
_cell_length_c 7.7156
_cell_angle_alpha 89.84
_cell_angle_beta 89.86
_cell_angle_gamma 89.48
_symmetry_space_group_name_H-M 'P 1'
_symmetry_Int_Tables_number 1
loop_
_symmetry_equiv_pos_as_xyz
'x,y,z'
loop_
_atom_site_label
_atom_site_fract_x
_atom_site_fract_y
_atom_site_fract_z
Na1 0.0000 0.0000 0.0000
Nd1 0.4805 0.4721 0.0027
Nd2 0.5027 0.5762 0.4936
Nd3 0.9808 0.0771 0.4896
Ti1 0.4915 0.0242 0.7551
Ti2 0.9937 0.5351 0.2387
Ti3 0.9962 0.5324 0.7500
Mn1 0.4884 0.0250 0.2417
O1 0.0716 0.5088 0.5007
O2 0.1968 0.2448 0.2072
O3 0.2128 0.2497 0.7859
O4 0.2909 0.7296 0.7837
O5 0.2931 0.7119 0.2162
O6 0.4065 0.0099 0.5035
O7 0.5717 0.0491 0.9892
O8 0.7109 0.3145 0.7030
O9 0.7122 0.3265 0.2934
O10 0.7773 0.8085 0.6927
O11 0.7851 0.8077 0.3014
O12 0.9116 0.5529 0.9940
```

Compound: FeCo
Source: Alexandria
Functional: GGA-PBEsol
Structure: optimized geometry

Results
Total energy = -8.32 eV/atom
Density = 8.79 g/cm3

CIF file:
```
data_FeCo
_chemical_formula_sum 'Fe4 Co4'
_cell_length_a 2.7855
_cell_length_b 3.9451
_cell_length_c 7.8911
_cell_angle_alpha 90.00
_cell_angle_beta 90.00
_cell_angle_gamma 90.00
_symmetry_space_group_name_H-M 'P 1'
_symmetry_Int_Tables_number 1
loop_
_symmetry_equiv_pos_as_xyz
'x,y,z'
loop_
_atom_site_label
_atom_site_fract_x
_atom_site_fract_y
_atom_site_fract_z
Fe1 0.0000 0.0000 0.0000
Fe2 0.0000 0.0000 0.4984
Fe3 0.5000 0.0000 0.7484
Fe4 0.5000 0.5000 0.9989
Co1 0.0000 0.5000 0.2448
Co2 0.0000 0.5000 0.7490
Co3 0.5000 0.0000 0.2516
Co4 0.5000 0.5000 0.4960
```

Compound: GaCBrCl2
Source: Alexandria
Functional: GGA-PBEsol
Structure: optimized geometry

Results
Total energy = -2.70 eV/atom
Density = 3.17 g/cm3
ΔE_f (raw) = 1.075 eV per atom

CIF file:
```
data_GaCBrCl2
_chemical_formula_sum 'Ga1 C1 Br1 Cl2'
_cell_length_a 5.7091
_cell_length_b 5.7091
_cell_length_c 3.7363
_cell_angle_alpha 90.00
_cell_angle_beta 90.00
_cell_angle_gamma 90.00
_symmetry_space_group_name_H-M 'P 1'
_symmetry_Int_Tables_number 1
loop_
_symmetry_equiv_pos_as_xyz
'x,y,z'
loop_
_atom_site_label
_atom_site_fract_x
_atom_site_fract_y
_atom_site_fract_z
Ga1 0.0000 0.0000 0.0000
C1 0.5000 0.5000 0.0000
Br1 0.5000 0.5000 0.5000
Cl1 0.0000 0.5000 0.5000
Cl2 0.5000 0.0000 0.5000
```

Compound: SrZrS3
Source: Alexandria
Functional: GGA-PBEsol
Structure: optimized geometry

Results
Total energy = -6.66 eV/atom
Density = 3.99 g/cm3
Energy relative to the lowest polymorph listed for this composition = 0 meV/atom
ΔE_f (raw) = -1.842 eV per atom

CIF file:
```
data_SrZrS3
_chemical_formula_sum 'Sr4 Zr4 S12'
_cell_length_a 7.0970
_cell_length_b 9.7040
_cell_length_c 6.6552
_cell_angle_alpha 90.00
_cell_angle_beta 90.00
_cell_angle_gamma 90.00
_symmetry_space_group_name_H-M 'P 1'
_symmetry_Int_Tables_number 1
loop_
_symmetry_equiv_pos_as_xyz
'x,y,z'
loop_
_atom_site_label
_atom_site_fract_x
_atom_site_fract_y
_atom_site_fract_z
Sr1 0.0837 0.2500 0.0267
Sr2 0.4163 0.7500 0.5267
Sr3 0.5837 0.2500 0.4733
Sr4 0.9163 0.7500 0.9733
Zr1 0.0000 0.0000 0.5000
Zr2 0.0000 0.5000 0.5000
Zr3 0.5000 0.0000 0.0000
Zr4 0.5000 0.5000 0.0000
S1 0.0181 0.7500 0.4018
S2 0.1948 0.5501 0.8110
S3 0.1948 0.9499 0.8110
S4 0.3052 0.0501 0.3110
S5 0.3052 0.4499 0.3110
S6 0.4819 0.2500 0.9018
S7 0.5181 0.7500 0.0982
S8 0.6948 0.5501 0.6890
S9 0.6948 0.9499 0.6890
S10 0.8052 0.0501 0.1890
S11 0.8052 0.4499 0.1890
S12 0.9819 0.2500 0.5982
```

Compound: Zr2MoPt
Source: Alexandria
Functional: GGA-PBEsol
Structure: optimized geometry

Results
Total energy = -9.40 eV/atom
Density = 10.87 g/cm3

CIF file:
```
data_Zr2MoPt
_chemical_formula_sum 'Zr2 Mo1 Pt1'
_cell_length_a 2.8131
_cell_length_b 2.8131
_cell_length_c 9.1433
_cell_angle_alpha 90.00
_cell_angle_beta 90.00
_cell_angle_gamma 90.00
_symmetry_space_group_name_H-M 'P 1'
_symmetry_Int_Tables_number 1
loop_
_symmetry_equiv_pos_as_xyz
'x,y,z'
loop_
_atom_site_label
_atom_site_fract_x
_atom_site_fract_y
_atom_site_fract_z
Zr1 0.0000 0.0000 0.0000
Zr2 0.5000 0.5000 0.3015
Mo1 0.0000 0.0000 0.5569
Pt1 0.5000 0.5000 0.7622
```

Compound: Sc2TlC
Source: Alexandria
Functional: GGA-PBEsol
Structure: optimized geometry

Results
Total energy = -6.93 eV/atom
Density = 6.99 g/cm3

CIF file:
```
data_Sc2TlC
_chemical_formula_sum 'Sc4 Tl2 C2'
_cell_length_a 3.3343
_cell_length_b 3.3343
_cell_length_c 15.1118
_cell_angle_alpha 90.00
_cell_angle_beta 90.00
_cell_angle_gamma 120.00
_symmetry_space_group_name_H-M 'P 1'
_symmetry_Int_Tables_number 1
loop_
_symmetry_equiv_pos_as_xyz
'x,y,z'
loop_
_atom_site_label
_atom_site_fract_x
_atom_site_fract_y
_atom_site_fract_z
Sc1 0.3333 0.6667 0.0804
Sc2 0.3333 0.6667 0.4196
Sc3 0.6667 0.3333 0.5804
Sc4 0.6667 0.3333 0.9196
Tl1 0.3333 0.6667 0.7500
Tl2 0.6667 0.3333 0.2500
C1 0.0000 0.0000 0.0000
C2 0.0000 0.0000 0.5000
```

Number 1: total moment 0.00 μB/cell. Number 2: total moment 0.00 μB/cell. Number 3: total moment 0.00 μB/cell. Number 4: total moment 0.00 μB/cell. Number 5: total moment 4.73 μB/cell. Number 6: total moment 17.03 μB/cell. Number 7: total moment 0.00 μB/cell. Number 8: total moment 0.00 μB/cell. Number 9: total moment 0.00 μB/cell. Number 10: total moment 0.00 μB/cell.